# 1
A plane-wave DFT calculation with PBE-GGA was carried out for a relaxed structure of Te3RuBr.

Properties
relative energy among the computed polymorphs: 1117.2 meV/atom
N(E_F): 3.7 states/eV per cell
calculated total energy: -2.56 eV/atom
raw formation energy: 1514 meV/atom

abc: 5.501 5.501 5.501
angles: 90.00 90.00 90.00
Positions (direct):
Ru (0.500, 0.500, 0.500)
Te (0.000, 0.500, 0.000)
Te (0.000, 0.000, 0.500)
Te (0.500, 0.000, 0.000)
Br (0.000, 0.000, 0.000)

***

# 2
A plane-wave DFT calculation with PBE-GGA was carried out for a relaxed structure of Te2RuBr.

Properties
relative energy among the computed polymorphs: 250.5 meV/atom
N(E_F): 5.0 states/eV per cell
calculated total energy: -4.21 eV/atom
raw formation energy: 95 meV/atom

abc: 7.063 7.063 7.291
angles: 61.03 61.03 90.00
Positions (direct):
Ru (0.000, 0.000, 0.000)
Ru (0.750, 0.250, 0.500)
Te (0.708, 0.125, 0.250)
Te (0.042, 0.625, 0.250)
Te (0.375, 0.292, 0.750)
Te (0.875, 0.958, 0.750)
Br (0.500, 0.500, 0.000)
Br (0.250, 0.750, 0.500)

***

# 3
A plane-wave DFT calculation with PBE-GGA was carried out for a relaxed structure of Te2RuBr.

Properties
relative energy among the computed polymorphs: 159.0 meV/atom
N(E_F): 3.5 states/eV per cell
calculated total energy: -4.30 eV/atom
raw formation energy: 4 meV/atom

abc: 3.973 4.829 7.271
angles: 106.73 90.00 90.00
Positions (direct):
Ru (0.500, 0.718, 0.831)
Te (0.000, 0.865, 0.082)
Te (0.500, 0.302, 0.996)
Br (0.000, 0.615, 0.591)

***

# 4
A plane-wave DFT calculation with PBE-GGA was carried out for a relaxed structure of Te2RuBr.

Properties
relative energy among the computed polymorphs: 279.0 meV/atom
N(E_F): 3.6 states/eV per cell
calculated total energy: -4.18 eV/atom
raw formation energy: 124 meV/atom

abc: 9.556 9.556 9.556
angles: 22.03 22.03 22.03
Positions (direct):
Ru (0.744, 0.744, 0.744)
Te (0.025, 0.025, 0.025)
Te (0.262, 0.262, 0.262)
Br (0.470, 0.470, 0.470)

***

# 5
A plane-wave DFT calculation with PBE-GGA was carried out for a relaxed structure of Te2RuBr.

Properties
relative energy among the computed polymorphs: 79.3 meV/atom
N(E_F): 1.5 states/eV per cell
calculated total energy: -4.38 eV/atom
raw formation energy: -76 meV/atom

abc: 4.018 5.526 5.527
angles: 57.57 90.00 90.00
Positions (direct):
Ru (0.500, 0.750, 0.750)
Te (0.000, 0.927, 0.927)
Te (0.000, 0.573, 0.573)
Br (0.500, 0.250, 0.250)

***

# 6
A plane-wave DFT calculation with PBE-GGA was carried out for a relaxed structure of Te2RuBr.

Properties
relative energy among the computed polymorphs: 423.9 meV/atom
N(E_F): 3.7 states/eV per cell
calculated total energy: -4.04 eV/atom
raw formation energy: 269 meV/atom

abc: 6.740 6.740 6.740
angles: 152.20 136.21 52.67
Positions (direct):
Ru (0.250, 0.750, 0.500)
Te (0.070, 0.070, 0.000)
Te (0.430, 0.430, 0.000)
Br (0.750, 0.250, 0.500)

***

# 7
A plane-wave DFT calculation with PBE-GGA was carried out for a relaxed structure of Te2RuBr.

Properties
relative energy among the computed polymorphs: 832.4 meV/atom
N(E_F): 2.3 states/eV per cell
calculated total energy: -3.63 eV/atom
raw formation energy: 677 meV/atom

abc: 5.213 5.213 3.207
angles: 90.00 90.00 90.00
Positions (direct):
Ru (0.000, 0.500, 0.500)
Te (0.000, 0.000, 0.000)
Te (0.500, 0.500, 0.000)
Br (0.500, 0.000, 0.500)

***

# 8
A plane-wave DFT calculation with PBE-GGA was carried out for a relaxed structure of Te2RuBr.

Properties
relative energy among the computed polymorphs: 183.2 meV/atom
N(E_F): 3.7 states/eV per cell
calculated total energy: -4.28 eV/atom
raw formation energy: 28 meV/atom

abc: 5.227 5.227 7.310
angles: 66.32 66.32 40.54
Positions (direct):
Ru (0.219, 0.219, 0.145)
Te (0.949, 0.949, 0.069)
Te (0.744, 0.744, 0.862)
Br (0.588, 0.588, 0.424)

***

# 9
A plane-wave DFT calculation with PBE-GGA was carried out for a relaxed structure of Te2RuBr.

Properties
relative energy among the computed polymorphs: 253.2 meV/atom
N(E_F): 4.1 states/eV per cell
calculated total energy: -4.21 eV/atom
raw formation energy: 98 meV/atom

abc: 7.173 7.173 7.173
angles: 151.58 141.48 48.55
Positions (direct):
Ru (0.248, 0.748, 0.500)
Te (0.101, 0.101, 0.000)
Te (0.738, 0.238, 0.500)
Br (0.413, 0.413, 0.000)

***

# 10
A plane-wave DFT calculation with PBE-GGA was carried out for a relaxed structure of TeRuBr4.

Properties
N(E_F): 9.0 states/eV per cell
calculated total energy: -1.94 eV/atom
raw formation energy: 1240 meV/atom

abc: 6.135 6.135 6.135
angles: 60.00 60.00 60.00
Positions (direct):
Te (0.000, 0.000, 0.000)
Ru (0.750, 0.750, 0.750)
Br (0.872, 0.376, 0.376)
Br (0.376, 0.376, 0.872)
Br (0.376, 0.872, 0.376)
Br (0.376, 0.376, 0.376)

***

# 11
A plane-wave DFT calculation with PBE-GGA was carried out for a relaxed structure of Te2RuBr.

Properties
relative energy among the computed polymorphs: 345.1 meV/atom
N(E_F): 3.6 states/eV per cell
calculated total energy: -4.12 eV/atom
raw formation energy: 190 meV/atom

abc: 3.173 3.173 11.120
angles: 90.00 90.00 90.00
Positions (direct):
Ru (0.500, 0.500, 0.770)
Te (0.000, 0.000, 0.905)
Te (0.500, 0.500, 0.225)
Br (0.000, 0.000, 0.601)

***

# 12
A plane-wave DFT calculation with PBE-GGA was carried out for a relaxed structure of TeRuBr.

Properties
N(E_F): 3.2 states/eV per cell
calculated total energy: -4.77 eV/atom
raw formation energy: -76 meV/atom

abc: 3.877 3.877 5.874
angles: 90.00 90.00 120.00
Positions (direct):
Ru (0.667, 0.333, 0.351)
Te (0.333, 0.667, 0.565)
Br (0.000, 0.000, 0.084)

***

# 13
A plane-wave DFT calculation with PBE-GGA was carried out for a relaxed structure of Te3RuBr.

Properties
relative energy among the computed polymorphs: 0.0 meV/atom
N(E_F): 7.9 states/eV per cell
calculated total energy: -3.68 eV/atom
raw formation energy: 397 meV/atom

abc: 5.242 5.242 5.242
angles: 90.00 90.00 90.00
Positions (direct):
Ru (0.000, 0.000, 0.000)
Te (0.000, 0.500, 0.000)
Te (0.000, 0.000, 0.500)
Te (0.500, 0.000, 0.000)
Br (0.500, 0.500, 0.500)

***

# 14
A plane-wave DFT calculation with PBE-GGA was carried out for a relaxed structure of Te2RuBr.

Properties
relative energy among the computed polymorphs: 234.4 meV/atom
N(E_F): 4.3 states/eV per cell
calculated total energy: -4.23 eV/atom
raw formation energy: 79 meV/atom

abc: 3.229 3.229 9.340
angles: 90.00 90.00 90.02
Positions (direct):
Ru (0.500, 0.500, 0.750)
Te (0.000, 0.000, 0.931)
Te (0.000, 0.000, 0.569)
Br (0.500, 0.500, 0.250)

***

# 15
A plane-wave DFT calculation with PBE-GGA was carried out for a relaxed structure of TeRu4Br.

Properties
N(E_F): 9.3 states/eV per cell
calculated total energy: -5.95 eV/atom
raw formation energy: 1032 meV/atom

abc: 5.336 5.336 5.336
angles: 60.00 60.00 60.00
Positions (direct):
Te (0.750, 0.750, 0.750)
Ru (0.873, 0.376, 0.376)
Ru (0.376, 0.376, 0.873)
Ru (0.376, 0.873, 0.376)
Ru (0.376, 0.376, 0.376)
Br (0.000, 0.000, 0.000)

***

# 16
A plane-wave DFT calculation with PBE-GGA was carried out for a relaxed structure of Te2RuBr.

Properties
relative energy among the computed polymorphs: 724.6 meV/atom
N(E_F): 2.4 states/eV per cell
calculated total energy: -3.74 eV/atom
raw formation energy: 570 meV/atom

abc: 4.957 4.957 4.957
angles: 60.00 60.00 60.00
Positions (direct):
Ru (0.500, 0.500, 0.500)
Te (0.250, 0.250, 0.250)
Te (0.750, 0.750, 0.750)
Br (0.000, 0.000, 0.000)

***

# 17
A plane-wave DFT calculation with PBE-GGA was carried out for a relaxed structure of Te2RuBr.

Properties
relative energy among the computed polymorphs: 1012.7 meV/atom
N(E_F): 2.8 states/eV per cell
calculated total energy: -3.45 eV/atom
raw formation energy: 858 meV/atom

abc: 5.091 4.267 4.267
angles: 90.00 90.00 90.00
Positions (direct):
Ru (0.500, 0.000, 0.500)
Te (0.000, 0.000, 0.000)
Te (0.000, 0.500, 0.500)
Br (0.500, 0.500, 0.000)

***

# 18
A plane-wave DFT calculation with PBE-GGA was carried out for a relaxed structure of Te2RuBr.

Properties
relative energy among the computed polymorphs: 0.0 meV/atom
N(E_F): 2.9 states/eV per cell
calculated total energy: -4.46 eV/atom
raw formation energy: -155 meV/atom

abc: 8.451 8.451 8.451
angles: 27.95 27.95 27.95
Positions (direct):
Ru (0.500, 0.500, 0.500)
Te (0.885, 0.885, 0.885)
Te (0.115, 0.115, 0.115)
Br (0.000, 0.000, 0.000)

***

# 19
A plane-wave DFT calculation with PBE-GGA was carried out for a relaxed structure of Te2RuBr.

Properties
relative energy among the computed polymorphs: 712.8 meV/atom
N(E_F): 4.0 states/eV per cell
calculated total energy: -3.75 eV/atom
raw formation energy: 558 meV/atom

abc: 5.012 5.012 5.012
angles: 69.02 69.02 106.47
Positions (direct):
Ru (0.000, 0.500, 0.500)
Te (0.000, 0.000, 0.000)
Te (0.500, 0.500, 0.000)
Br (0.500, 0.000, 0.500)

***

# 20
A plane-wave DFT calculation with PBE-GGA was carried out for a relaxed structure of Te2RuBr.

Properties
relative energy among the computed polymorphs: 377.9 meV/atom
N(E_F): 2.1 states/eV per cell
calculated total energy: -4.09 eV/atom
raw formation energy: 223 meV/atom

abc: 3.706 3.718 8.343
angles: 90.00 90.00 90.00
Positions (direct):
Ru (0.500, 0.500, 0.899)
Te (0.000, 0.000, 0.858)
Te (0.500, 0.500, 0.204)
Br (0.000, 0.000, 0.539)

***

# 21
A plane-wave DFT calculation with PBE-GGA was carried out for a relaxed structure of TeRuBr.

Properties
N(E_F): 3.3 states/eV per cell
calculated total energy: -4.53 eV/atom
raw formation energy: 163 meV/atom

abc: 7.234 7.234 3.248
angles: 77.02 77.03 25.95
Positions (direct):
Ru (0.324, 0.324, 0.676)
Te (0.717, 0.717, 0.283)
Br (0.959, 0.959, 0.041)

***

# 22
A plane-wave DFT calculation with PBE-GGA was carried out for a relaxed structure of Te2Ru2Br.

Properties
N(E_F): 4.9 states/eV per cell
calculated total energy: -5.43 eV/atom
raw formation energy: -123 meV/atom

abc: 3.980 3.980 8.366
angles: 76.24 76.24 90.00
Positions (direct):
Ru (0.750, 0.250, 0.500)
Ru (0.250, 0.750, 0.500)
Te (0.358, 0.358, 0.285)
Te (0.642, 0.642, 0.715)
Br (0.000, 0.000, 0.000)

***

# 23
A plane-wave DFT calculation with PBE-GGA was carried out for a relaxed structure of TeRuBr.

Properties
N(E_F): 3.2 states/eV per cell
calculated total energy: -4.46 eV/atom
raw formation energy: 234 meV/atom

abc: 4.575 4.575 4.575
angles: 60.00 60.00 60.00
Positions (direct):
Ru (0.250, 0.250, 0.250)
Te (0.000, 0.000, 0.000)
Br (0.500, 0.500, 0.500)

***

# 24
A plane-wave DFT calculation with PBE-GGA was carried out for a relaxed structure of TeRuBr.

Properties
N(E_F): 14.3 states/eV per cell
calculated total energy: -4.76 eV/atom
raw formation energy: -62 meV/atom

abc: 6.372 6.972 6.971
angles: 111.80 90.00 90.00
Positions (direct):
Br (0.150, 0.372, 0.878)
Br (0.151, 0.872, 0.378)
Br (0.651, 0.128, 0.622)
Br (0.650, 0.628, 0.122)
Te (0.854, 0.631, 0.618)
Te (0.854, 0.131, 0.119)
Te (0.354, 0.869, 0.881)
Te (0.354, 0.369, 0.382)
Ru (0.997, 0.261, 0.489)
Ru (0.497, 0.739, 0.511)
Ru (0.497, 0.239, 0.012)
Ru (0.997, 0.761, 0.988)

***

# 25
A plane-wave DFT calculation with PBE-GGA was carried out for a relaxed structure of Te2RuBr.

Properties
relative energy among the computed polymorphs: 911.7 meV/atom
N(E_F): 3.3 states/eV per cell
calculated total energy: -3.55 eV/atom
raw formation energy: 757 meV/atom

abc: 5.350 5.350 3.425
angles: 90.00 90.00 112.73
Positions (direct):
Ru (0.000, 0.500, 0.500)
Te (0.000, 0.000, 0.000)
Te (0.500, 0.500, 0.000)
Br (0.500, 0.000, 0.500)

***

# 26
A plane-wave DFT calculation with PBE-GGA was carried out for a relaxed structure of Te2RuBr.

Properties
relative energy among the computed polymorphs: 930.1 meV/atom
N(E_F): 3.9 states/eV per cell
calculated total energy: -3.53 eV/atom
raw formation energy: 775 meV/atom

abc: 5.058 5.058 5.058
angles: 60.00 60.00 60.00
Positions (direct):
Ru (0.750, 0.750, 0.750)
Te (0.000, 0.000, 0.000)
Te (0.250, 0.250, 0.250)
Br (0.500, 0.500, 0.500)

***

# 27
A plane-wave DFT calculation with PBE-GGA was carried out for a relaxed structure of YTe2RuBr.

Properties
N(E_F): 6.4 states/eV per cell
calculated total energy: -3.74 eV/atom
raw formation energy: 1003 meV/atom

abc: 5.682 5.140 5.682
angles: 90.00 90.00 90.00
Positions (direct):
Y (0.000, 0.500, 0.000)
Ru (0.500, 0.500, 0.500)
Te (0.000, 0.000, 0.500)
Te (0.500, 0.000, 0.000)
Br (0.000, 0.000, 0.000)

***

# 28
A plane-wave DFT calculation with PBE-GGA was carried out for a relaxed structure of Th3RuBr3.

Properties
N(E_F): 9.7 states/eV per cell
calculated total energy: -6.31 eV/atom
raw formation energy: -1091 meV/atom

abc: 3.917 9.298 12.060
angles: 87.20 90.00 90.00
Positions (direct):
Th (0.250, 0.311, 0.638)
Th (0.750, 0.689, 0.362)
Th (0.250, 0.905, 0.615)
Th (0.750, 0.095, 0.385)
Th (0.250, 0.922, 0.118)
Th (0.750, 0.078, 0.882)
Ru (0.250, 0.888, 0.365)
Ru (0.750, 0.112, 0.635)
Br (0.250, 0.396, 0.381)
Br (0.750, 0.604, 0.619)
Br (0.250, 0.817, 0.873)
Br (0.750, 0.183, 0.127)
Br (0.250, 0.342, 0.883)
Br (0.750, 0.658, 0.117)

***

# 29
A plane-wave DFT calculation with PBE-GGA was carried out for a relaxed structure of Th4RuBr5.

Properties
N(E_F): 5.1 states/eV per cell
calculated total energy: -5.94 eV/atom
raw formation energy: -1208 meV/atom

abc: 3.845 9.098 9.307
angles: 98.44 101.92 90.00
Positions (direct):
Th (0.670, 0.049, 0.340)
Th (0.001, 0.210, 0.002)
Th (0.330, 0.951, 0.660)
Th (0.999, 0.790, 0.998)
Ru (0.500, 0.000, 0.000)
Br (0.166, 0.314, 0.332)
Br (0.167, 0.779, 0.334)
Br (0.833, 0.221, 0.666)
Br (0.500, 0.500, 0.000)
Br (0.834, 0.686, 0.668)